Record 1
A geometry-optimized Mg2CuF structure. Source: Alexandria via LeMat-Bulk, functional GGA-PBE. Values from VASP.

```
&SYSTEM
  ibrav = 0, nat = 8, ntyp = 3
/
ATOMIC_SPECIES
Mg 24.30 Mg.upf
Cu 63.55 Cu.upf
F 19.00 F.upf
ATOMIC_POSITIONS crystal
Mg 0.064 0.625 0.939
Mg 0.375 0.314 0.439
Mg 0.686 0.125 0.061
Mg 0.875 0.936 0.561
Cu 0.250 0.750 0.500
Cu 0.500 0.500 0.000
F 0.000 0.000 0.000
F 0.750 0.250 0.500
CELL_PARAMETERS angstrom
-3.078 3.078 3.386
3.078 -3.078 3.386
3.078 3.078 -3.386
```

Calculated total energy = -3.298 eV per atom
Uncorrected formation energy = -97.4 kJ/mol of atoms

***

Record 2
A geometry-optimized Mg2Cu2F structure. Source: Alexandria via LeMat-Bulk, functional GGA-PBE. Values from VASP.

```
&SYSTEM
  ibrav = 0, nat = 10, ntyp = 3
/
ATOMIC_SPECIES
Mg 24.30 Mg.upf
Cu 63.55 Cu.upf
F 19.00 F.upf
ATOMIC_POSITIONS crystal
Mg 0.177 0.323 0.000
Mg 0.323 0.823 0.000
Mg 0.677 0.177 0.000
Mg 0.823 0.677 0.000
Cu 0.138 0.638 0.500
Cu 0.362 0.138 0.500
Cu 0.638 0.862 0.500
Cu 0.862 0.362 0.500
F 0.000 0.000 0.000
F 0.500 0.500 0.000
CELL_PARAMETERS angstrom
5.891 0.000 0.000
0.000 5.891 0.000
0.000 0.000 4.442
```

Calculated total energy = -3.295 eV per atom
Uncorrected formation energy = -62.2 kJ/mol of atoms